Entry from the Alexandria database: a relaxed LaFe2Cl crystal (PBE-GGA).

The structure in CIF format:
```
data_LaFe2Cl
_symmetry_space_group_name_H-M 'C 1 m 1'
_symmetry_Int_Tables_number 8
_symmetry_space_group_name_Hall 'C -2y'
_cell_length_a 6.478
_cell_length_b 3.709
_cell_length_c 7.262
_cell_angle_alpha 90.00
_cell_angle_beta 96.59
_cell_angle_gamma 90.00
loop_
_atom_site_label
_atom_site_type_symbol
_atom_site_fract_x
_atom_site_fract_y
_atom_site_fract_z
_atom_site_occupancy
La1 La 0.000 0.000 0.000 1
Fe1 Fe 0.133 0.500 0.739 1
Fe2 Fe 0.291 0.000 0.671 1
Cl1 Cl 0.204 0.500 0.279 1
```

## Properties
**E above lowest polymorph**: 83 meV/atom
**Raw total energy**: -6.052 eV/atom
**Formation energy without anion corrections**: -127.3 meV per atom
**V**: 21.67 Å³ per atom

***

Entry from the Alexandria database: a relaxed HfTiBr2 crystal (PBE-GGA).

The structure in CIF format:
```
data_HfTiBr2
_symmetry_space_group_name_H-M 'F m -3 m'
_symmetry_Int_Tables_number 225
_symmetry_space_group_name_Hall '-F 4 2 3'
_cell_length_a 6.698
_cell_length_b 6.698
_cell_length_c 6.698
_cell_angle_alpha 90.00
_cell_angle_beta 90.00
_cell_angle_gamma 90.00
loop_
_atom_site_label
_atom_site_type_symbol
_atom_site_fract_x
_atom_site_fract_y
_atom_site_fract_z
_atom_site_occupancy
Hf1 Hf 0.000 0.000 0.000 1
Ti1 Ti 0.000 0.000 0.500 1
Br1 Br 0.250 0.250 0.250 1
```

## Properties
**E above lowest polymorph**: 443 meV/atom
**Raw total energy**: -5.174 eV/atom
**Formation energy without anion corrections**: 124.1 meV per atom
**V**: 18.78 Å³ per atom

***

Entry from the Alexandria database: a relaxed PmHo2S crystal (PBE-GGA).

The structure in CIF format:
```
data_PmHo2S
_symmetry_space_group_name_H-M 'R -3 m'
_symmetry_Int_Tables_number 166
_symmetry_space_group_name_Hall '-R 3 2"'
_cell_length_a 3.6440
_cell_length_b 3.6440
_cell_length_c 30.4027
_cell_angle_alpha 90.00
_cell_angle_beta 90.00
_cell_angle_gamma 120.00
loop_
_atom_site_label
_atom_site_type_symbol
_atom_site_fract_x
_atom_site_fract_y
_atom_site_fract_z
_atom_site_occupancy
Pm1 Pm 0.0000 0.0000 0.0000 1
Ho1 Ho 0.0000 0.0000 0.1128 1
S1 S 0.0000 0.0000 0.5000 1
```

## Properties
**Raw total energy**: -5.253 eV/atom
**Formation energy without anion corrections**: -744.2 meV per atom
**V**: 29.14 Å³ per atom

***

Entry from the Alexandria database: a relaxed Ca2CdIr crystal (PBE-GGA).

The structure in CIF format:
```
data_Ca2CdIr
_symmetry_space_group_name_H-M 'P 1 m 1'
_symmetry_Int_Tables_number 6
_symmetry_space_group_name_Hall 'P -2y'
_cell_length_a 4.173
_cell_length_b 4.522
_cell_length_c 5.844
_cell_angle_alpha 90.00
_cell_angle_beta 110.85
_cell_angle_gamma 90.00
loop_
_atom_site_label
_atom_site_type_symbol
_atom_site_fract_x
_atom_site_fract_y
_atom_site_fract_z
_atom_site_occupancy
Ca1 Ca 0.000 0.000 0.000 1
Ca2 Ca 0.283 0.500 0.565 1
Cd1 Cd 0.572 0.500 0.144 1
Ir1 Ir 0.713 0.000 0.426 1
```

## Properties
**DFT formation energy**: -0.24 eV/atom
**Raw total energy**: -3.689 eV/atom
**V**: 25.76 Å³ per atom

***

Entry from the Alexandria database: a relaxed K2UO5 crystal (PBE-GGA).

The structure in CIF format:
```
data_K2UO5
_symmetry_space_group_name_H-M 'P 4/m m m'
_symmetry_Int_Tables_number 123
_symmetry_space_group_name_Hall '-P 4 2'
_cell_length_a 6.205
_cell_length_b 6.205
_cell_length_c 4.328
_cell_angle_alpha 90.00
_cell_angle_beta 90.00
_cell_angle_gamma 90.00
loop_
_atom_site_label
_atom_site_type_symbol
_atom_site_fract_x
_atom_site_fract_y
_atom_site_fract_z
_atom_site_occupancy
K1 K 0.000 0.500 0.000 1
U1 U 0.000 0.000 0.500 1
O1 O 0.000 0.000 0.000 1
O2 O 0.221 0.221 0.500 1
```

## Properties
**Raw total energy**: -6.871 eV/atom
**Formation energy without anion corrections**: -2086.8 meV per atom
**V**: 20.83 Å³ per atom

***

Entry from the Alexandria database: a relaxed HgBrO2 crystal (PBE-GGA).

The structure in CIF format:
```
data_HgBrO2
_symmetry_space_group_name_H-M 'F m -3 m'
_symmetry_Int_Tables_number 225
_symmetry_space_group_name_Hall '-F 4 2 3'
_cell_length_a 6.250
_cell_length_b 6.250
_cell_length_c 6.250
_cell_angle_alpha 90.00
_cell_angle_beta 90.00
_cell_angle_gamma 90.00
loop_
_atom_site_label
_atom_site_type_symbol
_atom_site_fract_x
_atom_site_fract_y
_atom_site_fract_z
_atom_site_occupancy
Hg1 Hg 0.000 0.000 0.000 1
Br1 Br 0.000 0.000 0.500 1
O1 O 0.250 0.250 0.250 1
```

## Properties
**E above lowest polymorph**: 888 meV/atom
**Raw total energy**: -2.088 eV/atom
**Formation energy without anion corrections**: 884.4 meV per atom
**V**: 15.26 Å³ per atom

***

Entry from the Alexandria database: a relaxed BaBe2Si crystal (PBE-GGA).

The structure in CIF format:
```
data_BaBe2Si
_symmetry_space_group_name_H-M 'P 4/m m m'
_symmetry_Int_Tables_number 123
_symmetry_space_group_name_Hall '-P 4 2'
_cell_length_a 3.269
_cell_length_b 3.269
_cell_length_c 6.992
_cell_angle_alpha 90.00
_cell_angle_beta 90.00
_cell_angle_gamma 90.00
loop_
_atom_site_label
_atom_site_type_symbol
_atom_site_fract_x
_atom_site_fract_y
_atom_site_fract_z
_atom_site_occupancy
Ba1 Ba 0.000 0.000 0.000 1
Be1 Be 0.500 0.500 0.351 1
Si1 Si 0.000 0.000 0.500 1
```

## Properties
**Raw total energy**: -3.196 eV/atom
**Formation energy without anion corrections**: 503.6 meV per atom
**V**: 18.68 Å³ per atom

***

Entry from the Alexandria database: a relaxed Pm5Mg2 crystal (PBE-GGA).

The structure in CIF format:
```
data_Pm5Mg2
_symmetry_space_group_name_H-M 'C c c m'
_symmetry_Int_Tables_number 66
_symmetry_space_group_name_Hall '-C 2 2c'
_cell_length_a 8.114
_cell_length_b 15.629
_cell_length_c 7.088
_cell_angle_alpha 90.00
_cell_angle_beta 90.00
_cell_angle_gamma 90.00
loop_
_atom_site_label
_atom_site_type_symbol
_atom_site_fract_x
_atom_site_fract_y
_atom_site_fract_z
_atom_site_occupancy
Pm1 Pm 0.000 0.000 0.250 1
Pm2 Pm 0.000 0.233 0.250 1
Pm3 Pm 0.180 0.405 0.000 1
Mg1 Mg 0.227 0.379 0.500 1
```

## Properties
**DFT formation energy**: 0.05 eV/atom
**E above lowest polymorph**: 61 meV/atom
**Raw total energy**: -3.803 eV/atom
**V**: 32.10 Å³ per atom

***

Entry from the Alexandria database: a relaxed AlNiPt2 crystal (PBE-GGA).

The structure in CIF format:
```
data_AlNiPt2
_symmetry_space_group_name_H-M 'P 1 m 1'
_symmetry_Int_Tables_number 6
_symmetry_space_group_name_Hall 'P -2y'
_cell_length_a 2.787
_cell_length_b 4.037
_cell_length_c 5.165
_cell_angle_alpha 90.00
_cell_angle_beta 105.56
_cell_angle_gamma 90.00
loop_
_atom_site_label
_atom_site_type_symbol
_atom_site_fract_x
_atom_site_fract_y
_atom_site_fract_z
_atom_site_occupancy
Al1 Al 0.000 0.000 0.000 1
Ni1 Ni 0.142 0.500 0.278 1
Pt1 Pt 0.404 0.500 0.805 1
Pt2 Pt 0.735 0.000 0.467 1
```

## Properties
**DFT formation energy**: -0.55 eV/atom
**Raw total energy**: -5.951 eV/atom
**V**: 13.99 Å³ per atom

***

Entry from the Alexandria database: a relaxed NaTlGa2Cl4 crystal (PBE-GGA).

The structure in CIF format:
```
data_NaTlGa2Cl4
_symmetry_space_group_name_H-M 'P 1 2/m 1'
_symmetry_Int_Tables_number 10
_symmetry_space_group_name_Hall '-P 2y'
_cell_length_a 7.475
_cell_length_b 4.321
_cell_length_c 7.558
_cell_angle_alpha 90.00
_cell_angle_beta 109.32
_cell_angle_gamma 90.00
loop_
_atom_site_label
_atom_site_type_symbol
_atom_site_fract_x
_atom_site_fract_y
_atom_site_fract_z
_atom_site_occupancy
Na1 Na 0.000 0.000 0.000 1
Tl1 Tl 0.000 0.500 0.500 1
Ga1 Ga 0.500 0.000 0.500 1
Ga2 Ga 0.500 0.500 0.000 1
Cl1 Cl 0.245 0.500 0.233 1
Cl2 Cl 0.254 0.000 0.772 1
```

## Properties
**Raw total energy**: -3.160 eV/atom
**Formation energy without anion corrections**: -1019.3 meV per atom
**V**: 28.79 Å³ per atom

***

Entry from the Alexandria database: a relaxed Rb2YRhF6 crystal (PBE-GGA).

The structure in CIF format:
```
data_Rb2YRhF6
_symmetry_space_group_name_H-M 'F m -3 m'
_symmetry_Int_Tables_number 225
_symmetry_space_group_name_Hall '-F 4 2 3'
_cell_length_a 9.142
_cell_length_b 9.142
_cell_length_c 9.142
_cell_angle_alpha 90.00
_cell_angle_beta 90.00
_cell_angle_gamma 90.00
loop_
_atom_site_label
_atom_site_type_symbol
_atom_site_fract_x
_atom_site_fract_y
_atom_site_fract_z
_atom_site_occupancy
Rb1 Rb 0.250 0.250 0.250 1
Y1 Y 0.000 0.000 0.000 1
Rh1 Rh 0.000 0.000 0.500 1
F1 F 0.000 0.000 0.238 1
```

## Properties
**Raw total energy**: -5.423 eV/atom
**Formation energy without anion corrections**: -2725.3 meV per atom
**V**: 19.10 Å³ per atom

***

Entry from the Alexandria database: a relaxed SbAu crystal (PBE-GGA).

The structure in CIF format:
```
data_SbAu
_symmetry_space_group_name_H-M 'I 4/m'
_symmetry_Int_Tables_number 87
_symmetry_space_group_name_Hall '-I 4'
_cell_length_a 10.036
_cell_length_b 10.036
_cell_length_c 5.101
_cell_angle_alpha 90.00
_cell_angle_beta 90.00
_cell_angle_gamma 90.00
loop_
_atom_site_label
_atom_site_type_symbol
_atom_site_fract_x
_atom_site_fract_y
_atom_site_fract_z
_atom_site_occupancy
Sb1 Sb 0.163 0.316 0.000 1
Au1 Au 0.074 0.264 0.500 1
```

## Properties
**Raw total energy**: -3.685 eV/atom
**Formation energy without anion corrections**: 14.9 meV per atom
**V**: 32.11 Å³ per atom